# CaCe3Pb4

A geometry-optimized CaCe3Pb4 structure (PBE, Alexandria via LeMat-Bulk).

As for the offset from the most stable computed form: 0.044 eV per atom. The value obtained for the final energy is -37.71 eV/f.u. As for the calculated formation energy: -0.384 eV per atom. The calculation puts the volume at 29.89 Å³ per atom.

The structure belongs to space group Pmn2_1 (No. 31); the cell edges are 10.7966, 6.6590 and 6.6520 Å and the angles 90.00°, 90.00° and 90.00°. The inequivalent atoms are Ca at (0.0000, 0.0008, 0.0000), Ce at (0.0000, 0.4998, 0.4978), Ce at (0.2498, 0.2724, 0.7492), Pb at (0.0000, 0.0000, 0.4996), Pb at (0.0000, 0.5009, 0.9984) and Pb at (0.2493, 0.7661, 0.7493).

---

# NdEuSn

A geometry-optimized NdEuSn structure (PBE, Alexandria via LeMat-Bulk).

As for the offset from the most stable computed form: 0.004 eV per atom. The value obtained for the final energy is -20.40 eV/f.u. As for the calculated formation energy: -0.451 eV per atom. The calculation puts the volume at 36.87 Å³ per atom.

The structure belongs to space group F-43m (No. 216); the cell edges are 7.6197, 7.6197 and 7.6197 Å and the angles 90.00°, 90.00° and 90.00°. The inequivalent atoms are Nd at (0.0000, 0.0000, 0.0000), Eu at (0.0000, 0.0000, 0.5000) and Sn at (0.2500, 0.2500, 0.7500).

---

# LaSc2Cr

A geometry-optimized LaSc2Cr structure (PBE, Alexandria via LeMat-Bulk).

As for the offset from the most stable computed form: 0.129 eV per atom. The value obtained for the final energy is -25.98 eV/f.u. As for the calculated formation energy: 0.310 eV per atom. The calculation puts the volume at 24.53 Å³ per atom.

The structure belongs to space group P2/m (No. 10); the cell edges are 3.3144, 4.8867 and 6.2752 Å and the angles 90.00°, 105.11° and 90.00°. The inequivalent atoms are La at (0.0000, 0.0000, 0.0000), Sc at (0.3937, 0.5000, 0.7171) and Cr at (0.0000, 0.0000, 0.5000).

---

# NaHgH2Cl3

A geometry-optimized NaHgH2Cl3 structure (PBE, Alexandria via LeMat-Bulk).

The value obtained for the final energy is -14.47 eV/f.u. The calculation puts the volume at 22.81 Å³ per atom.

The structure belongs to space group Pnma (No. 62); the cell edges are 7.5635, 4.2428 and 19.8991 Å and the angles 90.00°, 90.00° and 90.00°. The inequivalent atoms are Na at (0.0017, 0.2500, 0.1822), Hg at (0.0559, 0.7500, 0.5869), H at (0.0467, 0.7500, 0.9462), H at (0.1332, 0.2500, 0.7525), Cl at (0.1321, 0.2500, 0.3153), Cl at (0.1974, 0.7500, 0.4789) and Cl at (0.2118, 0.7500, 0.1423).

---

# Ac4PdSeCl2

A geometry-optimized Ac4PdSeCl2 structure (PBE, Alexandria via LeMat-Bulk).

The value obtained for the final energy is -39.86 eV/f.u. As for the uncorrected formation energy: -1.382 eV/atom. The calculation puts the volume at 31.36 Å³ per atom.

The structure belongs to space group P2/m (No. 10); the cell edges are 7.5386, 4.3657 and 8.0845 Å and the angles 90.00°, 109.46° and 90.00°. The inequivalent atoms are Ac at (0.2301, 0.0000, 0.2292), Ac at (0.2461, 0.5000, 0.7550), Pd at (0.0000, 0.5000, 0.0000), Se at (0.0000, 0.0000, 0.5000), Cl at (0.5000, 0.0000, 0.0000) and Cl at (0.5000, 0.5000, 0.5000).

---

# TlSbTeSe

A geometry-optimized TlSbTeSe structure (PBE, Alexandria via LeMat-Bulk).

The value obtained for the final energy is -14.21 eV/f.u. As for the uncorrected formation energy: -0.274 eV/atom. The calculation puts the volume at 32.24 Å³ per atom.

The structure belongs to space group R3m (No. 160, hexagonal axes); the cell edges are 4.2902, 4.2902 and 24.2682 Å and the angles 90.00°, 90.00° and 120.00°. The inequivalent atoms are Tl at (0.0000, 0.0000, 0.0000), Sb at (0.0000, 0.0000, 0.8428), Te at (0.0000, 0.0000, 0.4344) and Se at (0.0000, 0.0000, 0.2418).

---

# AcPb2O6

A geometry-optimized AcPb2O6 structure (PBE, Alexandria via LeMat-Bulk).

The value obtained for the final energy is -54.04 eV/f.u. As for the uncorrected formation energy: -1.418 eV/atom. The calculation puts the volume at 17.07 Å³ per atom.

The structure belongs to space group P-31m (No. 162); the cell edges are 5.7697, 5.7697 and 5.3302 Å and the angles 90.00°, 90.00° and 120.00°. The inequivalent atoms are Ac at (0.0000, 0.0000, 0.0000), Pb at (0.3333, 0.6667, 0.5000) and O at (0.0000, 0.3579, 0.7240).

---

# ZnCr3Mo

A geometry-optimized ZnCr3Mo structure (PBE, Alexandria via LeMat-Bulk).

As for the offset from the most stable computed form: 0.136 eV per atom. The value obtained for the final energy is -33.17 eV/f.u. As for the calculated formation energy: 1.562 eV per atom. The calculation puts the volume at 18.56 Å³ per atom.

The structure belongs to space group Pm-3m (No. 221); the cell edges are 4.5270, 4.5270 and 4.5270 Å and the angles 90.00°, 90.00° and 90.00°. The inequivalent atoms are Zn at (0.0000, 0.0000, 0.0000), Cr at (0.0000, 0.0000, 0.5000) and Mo at (0.5000, 0.5000, 0.5000).

---

# MnAl2W2

A geometry-optimized MnAl2W2 structure (PBE, Alexandria via LeMat-Bulk).

As for the offset from the most stable computed form: 0.000 eV per atom. The value obtained for the final energy is -41.69 eV/f.u. As for the calculated formation energy: 0.174 eV per atom. The calculation puts the volume at 14.96 Å³ per atom.

The structure belongs to space group P4/mbm (No. 127); the cell edges are 6.5181, 6.5181 and 3.5215 Å and the angles 90.00°, 90.00° and 90.00°. The inequivalent atoms are Mn at (0.0000, 0.0000, 0.0000), Al at (0.1320, 0.3680, 0.0000) and W at (0.1713, 0.6713, 0.5000).

---

# LiIn

A geometry-optimized LiIn structure (PBE, Alexandria via LeMat-Bulk).

The value obtained for the final energy is -4.96 eV/f.u. As for the calculated formation energy: -0.154 eV per atom. The calculation puts the volume at 22.47 Å³ per atom.

The structure belongs to space group P6_3/m (No. 176); the cell edges are 7.9682, 7.9682 and 4.9037 Å and the angles 90.00°, 90.00° and 120.00°. The inequivalent atoms are Li at (0.0547, 0.8073, 0.2500) and In at (0.0948, 0.6256, 0.7500).

---

# Tb3BiC

A geometry-optimized Tb3BiC structure (PBE, Alexandria via LeMat-Bulk).

As for the offset from the most stable computed form: 0.195 eV per atom. The value obtained for the final energy is -28.66 eV/f.u. As for the calculated formation energy: -0.333 eV per atom. The calculation puts the volume at 28.11 Å³ per atom.

The structure belongs to space group C2/m (No. 12); the cell edges are 16.3072, 4.2023 and 8.4365 Å and the angles 90.00°, 103.46° and 90.00°. The inequivalent atoms are Tb at (0.0433, 0.0000, 0.3445), Tb at (0.1605, 0.0000, 0.9372), Tb at (0.1746, 0.5000, 0.6295), Bi at (0.1644, 0.5000, 0.2258) and C at (0.0995, 0.0000, 0.6369).

---

# SmGe4Pt2

A geometry-optimized SmGe4Pt2 structure (PBE, Alexandria via LeMat-Bulk).

The value obtained for the final energy is -39.62 eV/f.u. As for the calculated formation energy: -0.622 eV per atom. The calculation puts the volume at 18.82 Å³ per atom.

The structure belongs to space group Pnma (No. 62); the cell edges are 17.4010, 4.3279 and 6.9956 Å and the angles 90.00°, 90.00° and 90.00°. The inequivalent atoms are Sm at (0.1414, 0.2500, 0.0163), Ge at (0.0383, 0.7500, 0.8614), Ge at (0.0641, 0.2500, 0.4716), Ge at (0.1775, 0.7500, 0.3316), Ge at (0.1957, 0.7500, 0.7452), Pt at (0.0295, 0.7500, 0.2363) and Pt at (0.2124, 0.2500, 0.5495).

---

# AgAs2PO8

A geometry-optimized AgAs2PO8 structure (PBE, Alexandria via LeMat-Bulk).

The value obtained for the final energy is -68.36 eV/f.u. As for the uncorrected formation energy: -0.928 eV/atom. The calculation puts the volume at 14.98 Å³ per atom.

The structure belongs to space group R-3m (No. 166, hexagonal axes); the cell edges are 5.1050, 5.1050 and 23.8905 Å and the angles 90.00°, 90.00° and 120.00°. The inequivalent atoms are Ag at (0.0000, 0.0000, 0.0000), As at (0.0000, 0.0000, 0.2338), P at (0.0000, 0.0000, 0.5000), O at (0.0000, 0.0000, 0.3036) and O at (0.0316, 0.5158, 0.1231).

---

# LiDyNiP2

A geometry-optimized LiDyNiP2 structure (PBE, Alexandria via LeMat-Bulk).

The value obtained for the final energy is -26.91 eV/f.u. As for the calculated formation energy: -0.759 eV per atom. The calculation puts the volume at 15.59 Å³ per atom.

The structure belongs to space group Pmma (No. 51); the cell edges are 5.1606, 5.5827 and 5.4097 Å and the angles 90.00°, 90.00° and 90.00°. The inequivalent atoms are Li at (0.2500, 0.0000, 0.0965), Dy at (0.2500, 0.5000, 0.2657), Ni at (0.0000, 0.0000, 0.5000) and P at (0.2500, 0.2566, 0.7361).

---

# LaNi2Au9

A geometry-optimized LaNi2Au9 structure (PBE, Alexandria via LeMat-Bulk).

The value obtained for the final energy is -48.25 eV/f.u. As for the calculated formation energy: -0.189 eV per atom. The calculation puts the volume at 18.76 Å³ per atom.

The structure belongs to space group I4_1/amd (No. 141, origin choice 2); the cell edges are 11.2551, 11.2551 and 7.1068 Å and the angles 90.00°, 90.00° and 90.00°. The inequivalent atoms are La at (0.0000, 0.2500, 0.3750), Ni at (0.0000, 0.0000, 0.0000), Au at (0.0000, 0.2500, 0.8750) and Au at (0.1211, 0.0531, 0.6816).